A geometry-optimized Sr2Bi7Pd12 structure. Source: Alexandria, functional GGA-PBE.

Values from the calculation:
The volume comes out at 22.35 Å³/atom. Its final energy is -101.10 eV/cell. The value obtained for the total magnetic moment is 0.00 μB per formula unit.

Unit cell a=10.5973 b=10.5973 c=4.8267 alpha=90.00 beta=90.00 gamma=120.00
Space group P-3 (No. 147)
Inequivalent atoms, fractional coordinates:
Sr (0.3333, 0.6667, 0.2067) x2
Bi (0.0000, 0.0000, 0.5000) x1
Bi (0.1000, 0.7076, 0.6838) x6
Pd (0.0582, 0.4365, 0.8080) x6
Pd (0.1240, 0.8720, 0.1695) x6

A geometry-optimized Pu2MgB2Ru5 structure. Source: Alexandria, functional GGA-PBE.

Values from the calculation:
The volume comes out at 14.58 Å³/atom. Its final energy is -185.68 eV/cell. The value obtained for the total magnetic moment is 7.29 μB per formula unit.

Unit cell a=9.6618 b=9.6618 c=3.1237 alpha=90.00 beta=90.00 gamma=90.00
Space group P4/mbm (No. 127)
Inequivalent atoms, fractional coordinates:
Pu (0.1769, 0.3231, 0.0000) x4
Mg (0.0000, 0.0000, 0.0000) x2
B (0.1229, 0.6229, 0.0000) x4
Ru (0.0000, 0.5000, 0.5000) x2
Ru (0.0711, 0.7775, 0.5000) x8

What is the formula in the second record?
Pu2MgB2Ru5